No. 1
Here is crystalline LaAlW at its relaxed geometry from Alexandria. Energies are from PBEsol.

Properties
Density of states at the Fermi level   3.23 states/eV/f.u.
Polymorph energy (0 for the lowest one)   1.331 eV/atom
Space group   No. 216
ΔE_f   1.657 eV/atom
Final energy   -6.092 eV/atom
Size of the total moment   2.10 μB/f.u.
Theoretical density   7.50 g/cm3

a b c (Å): 4.7846 4.7846 4.7846
angles (deg): 60.00 60.00 60.00
Atoms (fractional coordinates):
La 0.0000 0.0000 0.0000
Al 0.2500 0.2500 0.2500
W 0.7500 0.7500 0.7500

***

No. 2
Here is crystalline LaAl2W at its relaxed geometry from Alexandria. Energies are from PBEsol.

Properties
Density of states at the Fermi level   4.31 states/eV/f.u.
Polymorph energy (0 for the lowest one)   0.460 eV/atom
Space group   No. 122
ΔE_f   0.639 eV/atom
Final energy   -6.195 eV/atom
Size of the total moment   0.24 μB/f.u.
Theoretical density   6.52 g/cm3

a b c (Å): 9.7445 9.7445 9.7445
angles (deg): 152.89 152.89 38.72
Atoms (fractional coordinates):
La 0.0000 0.0000 0.0000
La 0.7500 0.2500 0.5000
Al 0.2678 0.6250 0.1428
Al 0.3750 0.5178 0.6428
Al 0.4822 0.1250 0.8572
Al 0.8750 0.7322 0.3572
W 0.2500 0.7500 0.5000
W 0.5000 0.5000 0.0000